(1)
! Bi6Br7 SCAN PBEsol geometry; values from VASP
&SYSTEM
  ibrav = 0, nat = 104, ntyp = 2
/
ATOMIC_SPECIES
Bi 208.98 Bi.upf
Br 79.90 Br.upf
ATOMIC_POSITIONS angstrom
Bi 0.6867 2.1053 0.0000
Bi 1.0232 21.0847 4.5196
Bi 1.5120 13.8365 4.5196
Bi 1.7721 10.0911 0.0000
Bi 2.4535 8.1648 2.3644
Bi 2.4535 8.1648 6.6748
Bi 2.4782 18.7927 2.9242
Bi 2.4782 18.7927 6.1150
Bi 2.5944 6.1744 0.0000
Bi 2.8096 15.0751 0.0000
Bi 3.3303 22.2871 2.8555
Bi 3.3303 22.2871 6.1837
Bi 4.4195 10.5292 1.6641
Bi 4.4195 10.5292 7.3751
Bi 4.9401 3.3171 4.5196
Bi 5.1553 17.9323 4.5196
Bi 5.2715 7.0348 1.5954
Bi 5.2715 7.0348 7.4438
Bi 5.2962 19.9227 2.1552
Bi 5.2962 19.9227 6.8841
Bi 5.9777 21.8490 4.5196
Bi 6.2378 2.0786 0.0000
Bi 6.7265 9.3268 0.0000
Bi 7.0631 13.8632 4.5196
Bi 8.4364 9.6527 4.5196
Bi 8.7730 14.1891 0.0000
Bi 9.2617 21.4373 0.0000
Bi 9.5218 1.6669 4.5196
Bi 10.2033 3.5932 2.1552
Bi 10.2033 3.5932 6.8841
Bi 10.2280 16.4811 1.5954
Bi 10.2280 16.4811 7.4438
Bi 10.3442 5.5836 4.5196
Bi 10.5593 20.1988 4.5196
Bi 11.0800 12.9867 1.6641
Bi 11.0800 12.9867 7.3751
Bi 12.1692 1.2288 2.8555
Bi 12.1692 1.2288 6.1837
Bi 12.6899 8.4408 0.0000
Bi 12.9050 17.3415 0.0000
Bi 13.0213 4.7232 2.9242
Bi 13.0213 4.7232 6.1150
Bi 13.0460 15.3511 2.3644
Bi 13.0460 15.3511 6.6748
Bi 13.7274 13.4249 0.0000
Bi 13.9875 9.6794 4.5196
Bi 14.4763 2.4312 4.5196
Bi 14.8128 21.4106 0.0000
Br 0.0000 0.0000 2.0163
Br 0.0000 0.0000 7.0229
Br 0.0892 16.2746 4.5196
Br 0.6289 16.7883 0.0000
Br 0.8692 3.9634 2.0438
Br 0.8692 3.9634 6.9954
Br 1.2315 13.0918 1.7108
Br 1.2315 13.0918 7.3284
Br 1.3258 10.5970 4.5196
Br 2.0694 20.8642 0.0000
Br 2.6515 1.4810 4.5196
Br 3.2732 15.6411 2.8115
Br 3.2732 15.6411 6.2277
Br 3.3789 5.7084 4.5196
Br 3.3952 0.8406 0.0000
Br 4.3545 12.5986 4.5196
Br 4.3708 17.4664 0.0000
Br 4.4765 3.8832 1.7081
Br 4.4765 3.8832 7.3311
Br 5.0982 13.2390 0.0000
Br 5.6804 9.1062 4.5196
Br 6.4239 22.3549 0.0000
Br 6.5182 1.3339 2.8088
Br 6.5182 1.3339 6.2304
Br 6.8805 15.7214 2.4758
Br 6.8805 15.7214 6.5634
Br 7.1208 5.0304 4.5196
Br 7.6606 4.5167 0.0000
Br 7.7497 11.7580 2.5033
Br 7.7497 11.7580 6.5359
Br 7.8389 18.9992 0.0000
Br 8.3787 18.4855 4.5196
Br 8.6190 7.7945 2.4758
Br 8.6190 7.7945 6.5634
Br 8.9813 22.1820 2.8088
Br 8.9813 22.1820 6.2304
Br 9.0756 1.1610 0.0000
Br 9.8191 14.4097 4.5196
Br 10.4013 10.2769 0.0000
Br 11.0230 19.6327 1.7081
Br 11.0230 19.6327 7.3311
Br 11.1287 6.0495 0.0000
Br 11.1449 10.9173 4.5196
Br 12.1043 22.6753 0.0000
Br 12.1205 17.8075 4.5196
Br 12.2262 7.8748 2.8115
Br 12.2262 7.8748 6.2277
Br 12.8480 22.0349 4.5196
Br 13.4301 2.6517 0.0000
Br 14.1736 12.9189 4.5196
Br 14.2680 10.4241 1.7108
Br 14.2680 10.4241 7.3284
Br 14.6303 19.5525 2.0438
Br 14.6303 19.5525 6.9954
Br 14.8705 6.7276 0.0000
Br 15.4103 7.2413 4.5196
CELL_PARAMETERS angstrom
15.4995 0.0000 0.0000
0.0000 23.5159 0.0000
0.0000 0.0000 9.0392
! mass density = 7.31 g/cm3
! size of the total moment = 0.0 μB/f.u.
! ΔE_f (raw) = -0.453 eV per atom



(2)
! La2ReIr SCAN PBEsol geometry; values from VASP
&SYSTEM
  ibrav = 0, nat = 4, ntyp = 3
/
ATOMIC_SPECIES
La 138.91 La.upf
Re 186.21 Re.upf
Ir 192.22 Ir.upf
ATOMIC_POSITIONS angstrom
La 0.0000 0.0000 0.0000
La 0.0000 2.0784 2.4591
Re 0.0000 0.0000 4.9182
Ir 2.0784 0.0000 2.4591
CELL_PARAMETERS angstrom
-2.0784 2.0784 4.9182
2.0784 -2.0784 4.9182
2.0784 2.0784 -4.9182
! mass density = 12.82 g/cm3
! size of the total moment = 0.0 μB/f.u.
! energy above the lowest structure with this stoichiometry = 0.2002 eV/atom
! formation energy from the elements = 0.299 eV/atom



(3)
! BaFeO3 SCAN PBEsol geometry; values from VASP
&SYSTEM
  ibrav = 0, nat = 5, ntyp = 3
/
ATOMIC_SPECIES
Ba 137.33 Ba.upf
Fe 55.84 Fe.upf
O 16.00 O.upf
ATOMIC_POSITIONS angstrom
Ba 0.0000 0.0000 0.0000
Fe 1.9562 1.9562 1.9562
O 0.0000 1.9562 1.9562
O 1.9562 0.0000 1.9562
O 1.9562 1.9562 0.0000
CELL_PARAMETERS angstrom
3.9125 0.0000 0.0000
0.0000 3.9125 0.0000
0.0000 0.0000 3.9125
! mass density = 6.69 g/cm3
! size of the total moment = 4.0 μB/f.u.
! ΔE_f (raw) = -2.192 eV per atom



Question: What is the mass density in the second record?
Answer: 12.82 g/cm3